No. 1
First-principles (GGA-PBEsol) data for a relaxed structure of CdFe2Pb, as listed in Alexandria via LeMat-Bulk.

Results
- Space group: I-4m2
- Distance to the lowest polymorph of the same formula: 0.000 eV/atom

Cell lengths 3.9704, 3.9704, 5.0556 Å; angles 113.12, 113.12, 90.00 degrees
Closest atoms and distances in Å follow each position.
Fractional coordinates of all 4 atoms:
Cd: 0.2500 0.7500 0.5000  8 Fe 2.81-2.89, 4 Pb 2.89
Fe: 0.0000 0.0000 0.0000  4 Pb 2.81, 4 Cd 2.89, 4 Fe 2.89
Fe: 0.7500 0.2500 0.5000  4 Cd 2.81, 4 Pb 2.89, 4 Fe 2.89
Pb: 0.5000 0.5000 0.0000  8 Fe 2.81-2.89, 4 Cd 2.89

---

No. 2
First-principles (GGA-PBEsol) data for a relaxed structure of Cd2FePb, as listed in Alexandria via LeMat-Bulk.

Results
- Space group: Imm2

Cell lengths 2.9494, 4.5183, 6.9784 Å; angles 108.89, 102.20, 90.00 degrees
Closest atoms and distances in Å follow each position.
Fractional coordinates of all 4 atoms:
Cd: 0.9897 0.9897 0.9794  4 Fe 2.70, 2 Cd 2.95
Cd: 0.8240 0.3240 0.6481  2 Fe 2.72, 2 Cd 2.95
Fe: 0.5014 0.5014 0.0028  6 Cd 2.70-2.72, 2 Pb 2.78, 2 Fe 2.95
Pb: 0.1848 0.6848 0.3697  2 Fe 2.78, 2 Pb 2.95

---

No. 3
First-principles (GGA-PBEsol) data for a relaxed structure of Cd2FePb, as listed in Alexandria via LeMat-Bulk.

Results
- Space group: Immm

Cell lengths 3.0158, 4.5964, 6.4103 Å; angles 111.01, 103.61, 90.00 degrees
Closest atoms and distances in Å follow each position.
Fractional coordinates of all 4 atoms:
Cd: 0.7981 0.7981 0.5961  2 Fe 2.78, 6 Cd 2.97-3.02
Cd: 0.2019 0.2019 0.4039  2 Fe 2.78, 6 Cd 2.97-3.02
Fe: 0.5000 0.0000 0.0000  4 Pb 2.75, 4 Cd 2.78, 2 Fe 3.02
Pb: 0.0000 0.5000 0.0000  4 Fe 2.75, 2 Pb 3.02

---

| no. | DOS(E_F) (states/eV/atom) | magnetic moment (Bohr magnetons per cell) | calculated formation energy (kJ per mole of atoms) |
| --- | --- | --- | --- |
| 1 | 0.862 | 4.9 | 54.7 |
| 2 | 0.796 | 2.2 | 31.0 |
| 3 | 0.844 | 2.3 | 30.8 |